# 1
{"formula": "ZrAlPd5", "functional": "PBE", "state": "relaxed", "cell": [[4.0531, 0.0000, 0.0000], [0.0000, 4.0531, 0.0000], [0.0000, 0.0000, 7.0181]], "species": ["Zr", "Al", "Pd", "Pd", "Pd", "Pd", "Pd"], "frac_coords": [[0.0000, 0.0000, 0.0000], [0.5000, 0.5000, 0.5000], [0.0000, 0.5000, 0.2854], [0.0000, 0.5000, 0.7146], [0.5000, 0.0000, 0.2854], [0.5000, 0.0000, 0.7146], [0.5000, 0.5000, 0.0000]], "magmom_total_mub_per_fu": 0.00, "formation_energy_ev_per_fu": -5.4, "space_group": "P4/mmm (123)", "total_energy_ev_per_cell": -43.6, "vol_a3_per_atom": 16.5, "mass_density_g_cm3": 9.37}



# 2
{"formula": "Zr2AlPd3", "functional": "PBE", "state": "relaxed", "cell": [[2.7064, 1.5626, 4.1157], [-2.7064, 1.5626, 4.1157], [0.0000, -3.1251, 4.1157]], "species": ["Zr", "Zr", "Al", "Pd", "Pd", "Pd"], "frac_coords": [[0.1240, 0.1240, 0.1240], [0.8760, 0.8760, 0.8760], [0.5000, 0.5000, 0.5000], [0.0000, 0.5000, 0.5000], [0.5000, 0.0000, 0.5000], [0.5000, 0.5000, 0.0000]], "magmom_total_mub_per_fu": 1.17, "formation_energy_ev_per_fu": -4.0, "space_group": "R-3m (166)", "total_energy_ev_per_cell": -40.4, "vol_a3_per_atom": 17.4, "mass_density_g_cm3": 8.41, "polymorph_energy_kj_per_mol_fu": 0}



# 3
{"formula": "Zr2Al2Pd", "functional": "PBE", "state": "relaxed", "cell": [[6.5397, 0.0000, 0.0000], [0.0000, 6.5397, 0.0000], [0.0000, 0.0000, 4.3655]], "species": ["Zr", "Zr", "Zr", "Zr", "Al", "Al", "Al", "Al", "Pd", "Pd"], "frac_coords": [[0.1680, 0.3320, 0.0000], [0.3320, 0.8320, 0.0000], [0.6680, 0.1680, 0.0000], [0.8320, 0.6680, 0.0000], [0.1401, 0.6401, 0.5000], [0.3599, 0.1401, 0.5000], [0.6401, 0.8599, 0.5000], [0.8599, 0.3599, 0.5000], [0.0000, 0.0000, 0.5000], [0.5000, 0.5000, 0.5000]], "magmom_total_mub_per_fu": 0.00, "formation_energy_ev_per_fu": -3.1, "space_group": "P4/mbm (127)", "total_energy_ev_per_cell": -65.8, "vol_a3_per_atom": 18.7, "mass_density_g_cm3": 6.10, "polymorph_energy_kj_per_mol_fu": 0}